1.
First-principles (PBE) data for SbPBrO2 after structural relaxation, as listed in Alexandria via LeMat-Bulk.

Energy above the most stable polymorph in this dataset in eV/f.u.: 0.00
Space group: P4/mmm, No. 123
Uncorrected formation energy in eV/atom: -0.31

Cell: 3.906 3.906 5.639 Å, 90.00 90.00 90.00°
Fractional coordinates of all 5 atoms:
1 Sb 0.000 0.000 0.000
2 O 0.000 0.500 0.000
3 O 0.500 0.000 0.000
4 Br 0.500 0.500 0.500
5 P 0.000 0.000 0.500


2.
First-principles (PBE) data for Tc2MoP after structural relaxation, as listed in Alexandria via LeMat-Bulk.

E_form in kJ/mol of formula units: 2
Space group: R3m, No. 160

Cell: 8.373 8.373 8.373 Å, 19.56 19.56 19.56°
Fractional coordinates of all 4 atoms:
1 Tc 0.993 0.993 0.993
2 Tc 0.750 0.750 0.750
3 Mo 0.505 0.505 0.505
4 P 0.252 0.252 0.252


3.
First-principles (PBE) data for Os2RuW after structural relaxation, as listed in Alexandria via LeMat-Bulk.

Energy above the most stable polymorph in this dataset in eV/f.u.: 0.32
E_form in kJ/mol of formula units: 29
Space group: Cm, No. 8

Cell: 4.766 4.766 4.752 Å, 80.30 80.30 33.63°
Fractional coordinates of all 4 atoms:
1 Os 0.002 0.002 0.986
2 Os 0.748 0.748 0.757
3 Ru 0.499 0.499 0.502
4 W 0.250 0.250 0.255


For reference, electronic total energy by record: -4.538; -9.239; -11.098 eV/atom.